Record 1
Computed, not measured: a geometry-optimized Na2HgPbSe4 structure at the PBE level of DFT.

The structure in POSCAR format:
```
Na2HgPbSe4
1.0
9.835 0.000 0.000
0.000 10.510 0.000
-4.914 0.000 4.921
Na Hg Pb Se
4 2 2 8
direct
0.000 0.000 0.000
0.000 0.249 0.500
0.500 0.500 0.000
0.500 0.749 0.500
0.000 0.750 0.500
0.500 0.250 0.500
0.000 0.500 0.000
0.500 0.000 0.000
0.221 0.630 0.978
0.242 0.370 0.463
0.258 0.870 0.537
0.279 0.130 0.022
0.721 0.130 0.978
0.742 0.870 0.463
0.758 0.370 0.537
0.779 0.630 0.022
```

Summary:
V (Å³ per atom): 31.79
Crystal system: monoclinic
E (eV/atom): -3.098

---

Record 2
Computed, not measured: a geometry-optimized Cd6CuN structure at the PBE level of DFT.

The structure in POSCAR format:
```
Cd6CuN
1.0
4.133 2.386 2.583
-4.133 2.386 2.583
0.000 -4.773 2.583
Cd Cu N
6 1 1
direct
0.074 0.628 0.760
0.240 0.926 0.372
0.372 0.240 0.926
0.628 0.760 0.074
0.760 0.074 0.628
0.926 0.372 0.240
0.500 0.500 0.500
0.000 0.000 0.000
```

Summary:
V (Å³ per atom): 19.11
Crystal system: trigonal
E (eV/atom): -1.867

---

Record 3
Computed, not measured: a geometry-optimized KRbSm structure at the PBE level of DFT.

The structure in POSCAR format:
```
KRbSm
1.0
9.396 0.000 0.000
0.000 9.396 0.000
0.000 0.000 9.396
K Rb Sm
4 4 4
direct
0.000 0.000 0.000
0.000 0.500 0.500
0.500 0.000 0.500
0.500 0.500 0.000
0.250 0.250 0.750
0.250 0.750 0.250
0.750 0.250 0.250
0.750 0.750 0.750
0.250 0.250 0.250
0.250 0.750 0.750
0.750 0.250 0.750
0.750 0.750 0.250
```

Summary:
V (Å³ per atom): 69.14
Excess energy over the best structure of this formula in the dataset (kcal/mol of atoms): 0.00
Crystal system: cubic
E (eV/atom): -1.254
Magnetization (Bohr magnetons per cell): 7.04

---

Record 4
Computed, not measured: a geometry-optimized LiPtO4 structure at the PBE level of DFT.

The structure in POSCAR format:
```
LiPtO4
1.0
4.548 0.000 0.000
0.000 3.086 0.000
-0.089 0.000 9.102
Li Pt O
2 2 8
direct
0.000 0.000 0.000
0.000 0.000 0.500
0.500 0.492 0.250
0.500 0.508 0.750
0.211 0.495 0.105
0.211 0.505 0.605
0.305 0.008 0.847
0.305 0.992 0.347
0.695 0.008 0.653
0.695 0.992 0.153
0.789 0.495 0.395
0.789 0.505 0.895
```

Summary:
V (Å³ per atom): 10.65
Excess energy over the best structure of this formula in the dataset (kcal/mol of atoms): 3.31
Crystal system: monoclinic
E (eV/atom): -5.125
Magnetization (Bohr magnetons per cell): 1.91

---

Record 5
Computed, not measured: a geometry-optimized ErTmCu structure at the PBE level of DFT.

The structure in POSCAR format:
```
ErTmCu
1.0
6.683 0.000 0.000
0.000 6.683 0.000
0.000 0.000 6.683
Er Tm Cu
4 4 4
direct
0.000 0.000 0.000
0.000 0.500 0.500
0.500 0.000 0.500
0.500 0.500 0.000
0.250 0.250 0.750
0.250 0.750 0.250
0.750 0.250 0.250
0.750 0.750 0.750
0.000 0.000 0.500
0.000 0.500 0.000
0.500 0.000 0.000
0.500 0.500 0.500
```

Summary:
V (Å³ per atom): 24.88
Crystal system: cubic
E (eV/atom): -3.522
Magnetization (Bohr magnetons per cell): 0.00

---

Record 6
Computed, not measured: a geometry-optimized Sn2PdAu2 structure at the PBE level of DFT.

The structure in POSCAR format:
```
Sn2PdAu2
1.0
4.120 0.000 0.000
0.000 4.120 0.000
0.000 0.000 12.825
Sn Pd Au
4 2 4
direct
0.000 0.000 0.105
0.000 0.000 0.895
0.500 0.500 0.395
0.500 0.500 0.605
0.000 0.000 0.500
0.500 0.500 0.000
0.000 0.500 0.250
0.000 0.500 0.750
0.500 0.000 0.250
0.500 0.000 0.750
```

Summary:
V (Å³ per atom): 21.77
Excess energy over the best structure of this formula in the dataset (kcal/mol of atoms): 0.00
Crystal system: tetragonal
E (eV/atom): -3.808

---

Record 7
Computed, not measured: a geometry-optimized RbPdNO structure at the PBE level of DFT.

The structure in POSCAR format:
```
RbPdNO
1.0
3.513 0.000 0.000
0.000 6.667 0.000
0.000 0.000 6.344
Rb Pd N O
2 2 2 2
direct
0.000 0.245 0.000
0.000 0.755 0.500
0.500 0.200 0.496
0.500 0.800 0.996
0.000 0.306 0.494
0.000 0.694 0.994
0.500 0.006 0.752
0.500 0.994 0.252
```

Summary:
V (Å³ per atom): 18.57
Excess energy over the best structure of this formula in the dataset (kcal/mol of atoms): 0.00
Crystal system: orthorhombic
E (eV/atom): -4.740

---

Record 8
Computed, not measured: a geometry-optimized FePb2Se4 structure at the PBE level of DFT.

The structure in POSCAR format:
```
FePb2Se4
1.0
8.473 0.000 0.000
0.000 6.858 0.000
-4.303 0.000 13.623
Fe Pb Se
4 8 16
direct
0.200 0.222 0.139
0.200 0.278 0.639
0.800 0.722 0.361
0.800 0.778 0.861
0.065 0.148 0.384
0.065 0.352 0.884
0.441 0.646 0.125
0.441 0.854 0.625
0.559 0.146 0.375
0.559 0.354 0.875
0.935 0.648 0.116
0.935 0.852 0.616
0.081 0.746 0.456
0.081 0.754 0.956
0.254 0.541 0.746
0.254 0.959 0.246
0.267 0.029 0.756
0.267 0.471 0.256
0.377 0.250 0.039
0.377 0.250 0.539
0.623 0.750 0.461
0.623 0.750 0.961
0.733 0.529 0.744
0.733 0.971 0.244
0.746 0.041 0.754
0.746 0.459 0.254
0.919 0.246 0.044
0.919 0.254 0.544
```

Summary:
V (Å³ per atom): 28.27
Crystal system: monoclinic
E (eV/atom): -4.540
Magnetization (Bohr magnetons per cell): 16.01

---

V of number 5 (ErTmCu)?
24.88 Å³ per atom